VASP calculation (PBE-GGA) on a relaxed structure of RbScGa2Cl.

As for the uncorrected formation energy: 0.269 eV per atom.

The structure belongs to space group P4/mmm (No. 123); the cell edges are 5.421, 5.421 and 5.614 Å and the angles 90.00°, 90.00° and 90.00°. The distinct sites, in fractional coordinates, are Rb at (0.000, 0.000, 0.000), Sc at (0.500, 0.500, 0.000), Ga at (0.000, 0.500, 0.500) and Cl at (0.000, 0.000, 0.500).

VASP calculation (PBE-GGA) on a relaxed structure of Pm4TmTh.

Its formation energy is 31.66 kJ/mol of atoms.

The structure belongs to space group F-43m (No. 216); the cell edges are 9.331, 9.331 and 9.331 Å and the angles 90.00°, 90.00° and 90.00°. The distinct sites, in fractional coordinates, are Pm at (0.125, 0.125, 0.125), Tm at (0.000, 0.000, 0.500) and Th at (0.250, 0.250, 0.750).

VASP calculation (PBE-GGA) on a relaxed structure of Er4SnSb2As.

As for the uncorrected formation energy: -1.017 eV per atom.

The structure belongs to space group P2/m (No. 10); the cell edges are 7.331, 4.237 and 7.585 Å and the angles 90.00°, 108.90° and 90.00°. The distinct sites, in fractional coordinates, are Er at (0.236, 0.000, 0.235), Er at (0.244, 0.500, 0.760), Sn at (0.000, 0.000, 0.500), Sb at (0.500, 0.000, 0.000), Sb at (0.500, 0.500, 0.500) and As at (0.000, 0.500, 0.000).

VASP calculation (PBE-GGA) on a relaxed structure of ThAlNi4.

Its formation energy is -26.04 kJ/mol of atoms.

The structure belongs to space group C2/m (No. 12); the cell edges are 16.979, 4.286 and 5.084 Å and the angles 90.00°, 107.37° and 90.00°. The distinct sites, in fractional coordinates, are Th at (0.250, 0.000, 0.217), Al at (0.000, 0.000, 0.500), Al at (0.000, 0.500, 0.000), Ni at (0.083, 0.000, 0.986), Ni at (0.083, 0.500, 0.679), Ni at (0.143, 0.000, 0.537) and Ni at (0.144, 0.500, 0.249).

VASP calculation (PBE-GGA) on a relaxed structure of ThMg3Pb6.

Its formation energy is -6.00 kJ/mol of atoms.

The structure belongs to space group P2_1/m (No. 11); the cell edges are 10.308, 4.753 and 11.502 Å and the angles 90.00°, 94.72° and 90.00°. The distinct sites, in fractional coordinates, are Th at (0.062, 0.250, 0.388), Mg at (0.251, 0.250, 0.006), Mg at (0.345, 0.750, 0.805), Mg at (0.442, 0.250, 0.598), Pb at (0.063, 0.750, 0.907), Pb at (0.159, 0.750, 0.196), Pb at (0.166, 0.250, 0.702), Pb at (0.267, 0.750, 0.506), Pb at (0.379, 0.250, 0.302) and Pb at (0.458, 0.750, 0.096).

VASP calculation (PBE-GGA) on a relaxed structure of Sm2Dy2Ho2Tm.

Its formation energy is 13.75 kJ/mol of atoms.

The structure belongs to space group R-3m (No. 166, hexagonal axes); the cell edges are 5.6525, 5.6525 and 24.4248 Å and the angles 90.00°, 90.00° and 120.00°. The distinct sites, in fractional coordinates, are Sm at (0.0000, 0.0000, 0.1391), Dy at (0.0000, 0.0000, 0.2857), Ho at (0.0000, 0.0000, 0.4273) and Tm at (0.0000, 0.0000, 0.0000).

no.,magnetization (μB per formula unit),calculated volume (A^3/atom)
1,0.00,32.992
2,1.41,33.853
3,0.00,27.861
4,0.00,14.712
5,0.00,28.080
6,0.03,32.183